1.
DFT (PBE-GGA) results for an optimized crystal structure of GdZr.

Properties
symmetry = F-43m
crystal system = cubic
formation energy from the elements = 51.2 kcal/mol of atoms

a = 4.6099 Å, b = 4.6099 Å, c = 4.6099 Å
α = 60.00°, β = 60.00°, γ = 60.00°
Element x y z (fractional)
Gd1 0.0000 0.0000 0.0000
Zr1 0.2500 0.2500 0.2500


2.
DFT (PBE-GGA) results for an optimized crystal structure of Gd2Zr.

Properties
symmetry = Fd-3m
ΔE to the lowest computed polymorph = 433.6 meV per atom
crystal system = cubic
formation energy from the elements = 12.6 kcal/mol of atoms

a = 6.2881 Å, b = 6.2881 Å, c = 6.2881 Å
α = 60.00°, β = 60.00°, γ = 60.00°
Element x y z (fractional)
Gd1 0.6250 0.6250 0.6250
Gd2 0.6250 0.1250 0.6250
Gd3 0.1250 0.6250 0.6250
Gd4 0.6250 0.6250 0.1250
Zr1 0.2500 0.2500 0.2500
Zr2 0.0000 0.0000 0.0000


3.
DFT (PBE-GGA) results for an optimized crystal structure of GdZr2.

Properties
symmetry = P-62m
ΔE to the lowest computed polymorph = 29.8 meV per atom
crystal system = hexagonal
formation energy from the elements = 2.0 kcal/mol of atoms

a = 5.7991 Å, b = 5.7991 Å, c = 5.3076 Å
α = 90.00°, β = 90.00°, γ = 60.00°
Element x y z (fractional)
Gd1 0.3333 0.3333 0.0000
Gd2 0.0000 0.0000 0.0000
Zr1 0.6667 0.9792 0.5000
Zr2 0.3542 0.6667 0.5000
Zr3 0.9792 0.3542 0.5000
Zr4 0.6667 0.6667 0.0000


4.
DFT (PBE-GGA) results for an optimized crystal structure of GdZr.

Properties
symmetry = P-6m2
crystal system = hexagonal
formation energy from the elements = 2.4 kcal/mol of atoms

a = 6.8721 Å, b = 6.8721 Å, c = 5.3697 Å
α = 90.00°, β = 90.00°, γ = 120.00°
Element x y z (fractional)
Gd1 0.8292 0.6584 0.5000
Gd2 0.8292 0.1708 0.5000
Gd3 0.0000 0.0000 0.0000
Gd4 0.3416 0.1708 0.5000
Zr1 0.0289 0.5145 0.0000
Zr2 0.4855 0.5145 0.0000
Zr3 0.3333 0.6667 0.5000
Zr4 0.4855 0.9711 0.0000


5.
DFT (PBE-GGA) results for an optimized crystal structure of GdZr.

Properties
symmetry = Pmm2
crystal system = orthorhombic
formation energy from the elements = 2.0 kcal/mol of atoms

a = 5.8848 Å, b = 6.9427 Å, c = 5.3770 Å
α = 90.00°, β = 90.00°, γ = 90.00°
Element x y z (fractional)
Zr1 0.4938 0.2821 0.0000
Zr2 0.4938 0.7179 0.0000
Zr3 0.0249 0.5000 0.0000
Zr4 0.3228 0.5000 0.5000
Gd1 0.3522 0.0000 0.5000
Gd2 0.8289 0.7329 0.5000
Gd3 0.8289 0.2671 0.5000
Gd4 0.9880 0.0000 0.0000


6.
DFT (PBE-GGA) results for an optimized crystal structure of GdZr.

Properties
symmetry = Amm2
crystal system = orthorhombic
formation energy from the elements = 2.2 kcal/mol of atoms

a = 5.8924 Å, b = 9.0581 Å, c = 5.4041 Å
α = 90.00°, β = 90.00°, γ = 71.02°
Element x y z (fractional)
Zr1 0.6760 0.0070 0.5000
Zr2 0.8605 0.6000 0.5000
Zr3 0.9731 0.0216 0.0000
Zr4 0.0830 0.1929 0.5000
Zr5 0.3947 0.1784 0.0000
Gd1 0.4697 0.3850 0.5000
Gd2 0.8189 0.3937 0.0000
Gd3 0.1900 0.6000 0.0000
Gd4 0.2547 0.8150 0.5000
Gd5 0.6126 0.8064 0.0000


7.
DFT (PBE-GGA) results for an optimized crystal structure of GdZr.

Properties
symmetry = Pmma
crystal system = orthorhombic
formation energy from the elements = 2.3 kcal/mol of atoms

a = 6.0276 Å, b = 3.3714 Å, c = 5.3917 Å
α = 90.00°, β = 90.00°, γ = 90.00°
Element x y z (fractional)
Zr1 0.0317 0.0000 0.0000
Zr2 0.3016 0.0000 0.5000
Gd1 0.8310 0.5000 0.5000
Gd2 0.5023 0.5000 0.0000


8.
DFT (PBE-GGA) results for an optimized crystal structure of GdZr.

Properties
symmetry = Pbcm
crystal system = orthorhombic
formation energy from the elements = 1.5 kcal/mol of atoms

a = 5.7672 Å, b = 7.1376 Å, c = 5.3620 Å
α = 90.00°, β = 90.00°, γ = 90.00°
Element x y z (fractional)
Zr1 0.5096 0.2231 0.0000
Zr2 0.0096 0.0269 0.0000
Zr3 0.8238 0.2231 0.5000
Zr4 0.3238 0.0269 0.5000
Gd1 0.3557 0.4773 0.5000
Gd2 0.9777 0.4773 0.0000
Gd3 0.8557 0.7727 0.5000
Gd4 0.4777 0.7727 0.0000